A plane-wave DFT calculation with PBE was carried out for a geometry-optimized Zr2IrAu structure.

Calculated values
M_tot: 0.00 μB per cell
Formation energy: -2.54 kcal/mol of atoms
Raw total energy: -7.419 eV per atom

Lattice parameters (Å, degrees): 9.305 9.305 9.305 19.68 19.68 19.68
Atoms (fractional coordinates):
Au1 0.498 0.498 0.498
Ir1 0.748 0.748 0.748
Zr1 0.008 0.008 0.008
Zr2 0.247 0.247 0.247